The following is a DFT calculation (PBE) of a geometry-optimized La2MgSc structure.

Results
The formation energy from the elements is 23 meV/atom. Its total energy is -4.423 eV/atom. Its density of states at the Fermi level is 1.552 states/eV/atom. Its mass density is 4.65 g cm⁻³.

a = 5.3999 Å, b = 3.4774 Å, c = 13.1882 Å
α = 90.00°, β = 90.00°, γ = 90.00°
With the nearest neighbours (Å) after each atom.
Space group Amm2 (No. 38)
Asymmetric unit:
La 0.0000 0.0000 0.0000 (multiplicity 2)  2 La 3.48, 4 Mg 3.49, 3 Sc 3.52-3.53
La 0.5000 0.0000 0.3302 (multiplicity 2)  3 Mg 3.45-3.62, 4 Sc 3.46, 2 La 3.48
Mg 0.5000 0.0000 0.6045 (multiplicity 2)  2 Sc 3.18, 6 La 3.45-3.49, 2 Mg 3.48
Sc 0.0000 0.0000 0.7323 (multiplicity 2)  2 Mg 3.18, 7 La 3.46-3.53, 2 Sc 3.48